Record 1
# ZrFe2Ag

Crystalline ZrFe2Ag at its relaxed geometry (PBE, the Alexandria database).

E_form ... 17.27 kcal/mol of atoms
Total DFT energy (no corrections) ... -50.7 eV for the cell shown
Energy relative to the lowest polymorph listed for this composition ... 662 meV per atom
N(E_F) ... 4.48 states/eV/f.u.
Spin magnetization ... 0.0 μB per cell

Cell: 3.889 3.889 9.384 Å, 78.04 78.04 90.00°
Sites, in units of the cell vectors:
Zr 0.500 0.500 0.000
Zr 0.250 0.750 0.500
Ag 0.000 0.000 0.000
Ag 0.750 0.250 0.500
Fe 0.726 0.125 0.250
Fe 0.024 0.625 0.250
Fe 0.375 0.274 0.750
Fe 0.875 0.976 0.750

Record 2
# Zr2FeAg

Crystalline Zr2FeAg at its relaxed geometry (PBE, the Alexandria database).

E_form ... 0.50 kcal/mol of atoms
Total DFT energy (no corrections) ... -28.3 eV for the cell shown
Energy relative to the lowest polymorph listed for this composition ... 128 meV per atom
N(E_F) ... 4.90 states/eV/f.u.
Spin magnetization ... 0.0 μB per cell

Cell: 4.691 4.691 4.691 Å, 60.00 60.00 60.00°
Sites, in units of the cell vectors:
Zr 0.250 0.250 0.250
Zr 0.750 0.750 0.750
Ag 0.500 0.500 0.500
Fe 0.000 0.000 0.000

Record 3
# ZrFe2Ag

Crystalline ZrFe2Ag at its relaxed geometry (PBE, the Alexandria database).

E_form ... 7.30 kcal/mol of atoms
Total DFT energy (no corrections) ... -27.1 eV for the cell shown
Energy relative to the lowest polymorph listed for this composition ... 229 meV per atom
N(E_F) ... 4.48 states/eV/f.u.
Spin magnetization ... 4.4 μB per cell

Cell: 4.466 2.792 5.252 Å, 82.91 90.00 90.00°
Last column: magnetic moment on the atom in μB.
Sites, in units of the cell vectors:
Ag 0.500 0.750 0.750  -0.01
Fe 0.000 0.960 0.023  2.48
Fe 0.000 0.540 0.477  2.48
Zr 0.500 0.250 0.250  -0.39

Record 4
# Zr6FeAg2

Crystalline Zr6FeAg2 at its relaxed geometry (PBE, the Alexandria database).

E_form ... -1.61 kcal/mol of atoms
Total DFT energy (no corrections) ... -66.1 eV for the cell shown
N(E_F) ... 9.06 states/eV/f.u.
Spin magnetization ... 0.0 μB per cell

Cell: 3.281 8.075 8.078 Å, 119.99 90.00 90.00°
Sites, in units of the cell vectors:
Zr 0.500 0.611 0.000
Zr 0.500 0.389 0.389
Zr 0.500 0.000 0.611
Zr 0.000 0.242 0.000
Zr 0.000 0.758 0.758
Zr 0.000 0.000 0.242
Fe 0.500 0.000 0.000
Ag 0.000 0.333 0.667
Ag 0.000 0.667 0.333

Q: What is the formula in the third record?
A: ZrFe2Ag